# Th2TiBi PBE-GGA optimized geometry
data_Th2TiBi
_chemical_formula_sum 'Th2 Ti1 Bi1'
_cell_length_a 4.8155
_cell_length_b 4.8155
_cell_length_c 4.6843
_cell_angle_alpha 90.00
_cell_angle_beta 90.00
_cell_angle_gamma 90.00
_space_group_name_H-M_alt 'P 4/m m m'
_space_group_IT_number 123
_space_group_name_Hall '-P 4 2'
loop_
_atom_site_label
_atom_site_type_symbol
_atom_site_fract_x
_atom_site_fract_y
_atom_site_fract_z
_atom_site_occupancy
Th1 Th 0.0000 0.5000 0.0000 1
Ti1 Ti 0.0000 0.0000 0.5000 1
Bi1 Bi 0.5000 0.5000 0.5000 1
# - total moment (μB per formula unit) = 0.6
# - energy above the most stable polymorph in this dataset (eV/atom) = 0.000
# - N(E_F) (states/eV per cell) = 5.4
# - energy of formation from the pure elements (eV per formula unit) = -0.4